VASP calculation (PBE-GGA) on crystalline Nd6Bi2Se3S at its relaxed geometry.

As for the mass density: 7.4 Mg/m³. The calculation puts the total DFT energy (no corrections) at -69.365 eV per formula unit. The calculation puts the density of states at the Fermi level at 0.317 states/eV per atom. The value obtained for the uncorrected formation energy is -1535 meV per atom.

The space group is C2/m (No. 12) and the conventional cell measures 18.975, 4.319 and 8.715 Å, with angles of 90.00, 103.03 and 90.00 degrees. The inequivalent atoms are Nd at (0.005, 0.000, 0.274), Nd at (0.155, 0.500, 0.566), Nd at (0.159, 0.500, 0.098), Bi at (0.167, 0.000, 0.837), Se at (0.000, 0.500, 0.000), Se at (0.171, 0.000, 0.339) and S at (0.000, 0.500, 0.500).



VASP calculation (PBE-GGA) on crystalline NdSmBiS at its relaxed geometry.

As for the mass density: 7.8 Mg/m³. The calculation puts the total DFT energy (no corrections) at -22.960 eV per formula unit. The calculation puts the density of states at the Fermi level at 0.794 states/eV per atom. The value obtained for the uncorrected formation energy is -1366 meV per atom.

The space group is R3m (No. 160, hexagonal axes) and the conventional cell measures 4.2400, 4.2400 and 22.0716 Å, with angles of 90.00, 90.00 and 120.00 degrees. The inequivalent atoms are Nd at (0.0000, 0.0000, 0.0000), Sm at (0.0000, 0.0000, 0.8100), Bi at (0.0000, 0.0000, 0.2375) and S at (0.0000, 0.0000, 0.4095).



Which formula does entry 1 have? Nd6Bi2Se3S



Copy entry 2 word for word.
VASP calculation (PBE-GGA) on crystalline NdSmBiS at its relaxed geometry.

As for the mass density: 7.8 Mg/m³. The calculation puts the total DFT energy (no corrections) at -22.960 eV per formula unit. The calculation puts the density of states at the Fermi level at 0.794 states/eV per atom. The value obtained for the uncorrected formation energy is -1366 meV per atom.

The space group is R3m (No. 160, hexagonal axes) and the conventional cell measures 4.2400, 4.2400 and 22.0716 Å, with angles of 90.00, 90.00 and 120.00 degrees. The inequivalent atoms are Nd at (0.0000, 0.0000, 0.0000), Sm at (0.0000, 0.0000, 0.8100), Bi at (0.0000, 0.0000, 0.2375) and S at (0.0000, 0.0000, 0.4095).